## SrTi2O (PBE)

Data for a relaxed SrTi2O crystal.

The calculation puts the formation energy (no corrections) at -0.95 eV per atom.

The space group is Fd-3m (No. 227, origin choice 2) and the conventional cell measures 9.023, 9.023 and 9.023 Å, with angles of 90.00, 90.00 and 90.00 degrees. The asymmetric unit holds Sr at (0.125, 0.125, 0.125), Ti at (0.000, 0.000, 0.500) and O at (0.125, 0.125, 0.625).



## TbNd2SmDy6 (PBE)

Data for a relaxed TbNd2SmDy6 crystal.

Its energy of formation is 118 meV/atom.

The space group is C2/c (No. 15) and the conventional cell measures 9.053, 15.078 and 9.751 Å, with angles of 90.00, 99.05 and 90.00 degrees. The asymmetric unit holds Tb at (0.000, 0.093, 0.250), Nd at (0.244, 0.449, 0.042), Sm at (0.000, 0.482, 0.750), Dy at (0.068, 0.310, 0.443), Dy at (0.100, 0.106, 0.620) and Dy at (0.202, 0.276, 0.814).



no.,mass density (g/cm3)
1,3.61
2,7.95